GaPb3S | Alexandria | GGA-PBE | relaxed; symmetry = Pm-3m; energy relative to the lowest polymorph listed for this composition = 197 meV/atom; total energy = -3.220 eV/atom; V = 32.9 Å³/atom; energy relative to the elements, uncorrected = 436 meV/atom; Fermi-level density of states = 2.2 states/eV per cell
1.0
5.481 0.000 0.000
0.000 5.481 0.000
0.000 0.000 5.481
Pb S Ga
3 1 1
direct
0.000 0.500 0.000 Pb
0.000 0.000 0.500 Pb
0.500 0.000 0.000 Pb
0.500 0.500 0.500 S
0.000 0.000 0.000 Ga